# Tm4ThZn PBE relaxed
# **Mass density**: 9.618 g cm⁻³
data_Tm4ThZn
_chemical_formula_sum 'Tm4 Th1 Zn1'
_space_group_name_H-M_alt 'P 4/m m m'
_space_group_IT_number 123
_space_group_name_Hall '-P 4 2'
_cell_length_a 3.522
_cell_length_b 3.522
_cell_length_c 13.544
_cell_angle_alpha 90.00
_cell_angle_beta 90.00
_cell_angle_gamma 90.00
loop_
_atom_site_label
_atom_site_type_symbol
_atom_site_fract_x
_atom_site_fract_y
_atom_site_fract_z
Tm1 Tm 0.000 0.000 0.128
Tm2 Tm 0.500 0.500 0.319
Th1 Th 0.000 0.000 0.500
Zn1 Zn 0.500 0.500 0.000



# Tm2ThZn PBE relaxed
# **Mass density**: 9.596 g cm⁻³
data_Tm2ThZn
_chemical_formula_sum 'Tm6 Th3 Zn3'
_space_group_name_H-M_alt 'R -3 m'
_space_group_IT_number 166
_space_group_name_Hall '-R 3 2"'
_cell_length_a 3.5393
_cell_length_b 3.5393
_cell_length_c 30.4014
_cell_angle_alpha 90.00
_cell_angle_beta 90.00
_cell_angle_gamma 120.00
loop_
_atom_site_label
_atom_site_type_symbol
_atom_site_fract_x
_atom_site_fract_y
_atom_site_fract_z
Tm1 Tm 0.0000 0.0000 0.2398
Th1 Th 0.0000 0.0000 0.0000
Zn1 Zn 0.0000 0.0000 0.5000



# Tm5ThZn6 PBE relaxed
# **Mass density**: 9.114 g cm⁻³
data_Tm5ThZn6
_chemical_formula_sum 'Tm10 Th2 Zn12'
_space_group_name_H-M_alt 'I m m m'
_space_group_IT_number 71
_space_group_name_Hall '-I 2 2'
_cell_length_a 4.995
_cell_length_b 7.131
_cell_length_c 15.031
_cell_angle_alpha 90.00
_cell_angle_beta 90.00
_cell_angle_gamma 90.00
loop_
_atom_site_label
_atom_site_type_symbol
_atom_site_fract_x
_atom_site_fract_y
_atom_site_fract_z
Tm1 Tm 0.000 0.000 0.000
Tm2 Tm 0.000 0.000 0.335
Tm3 Tm 0.000 0.500 0.332
Th1 Th 0.000 0.500 0.000
Zn1 Zn 0.000 0.242 0.170
Zn2 Zn 0.000 0.264 0.500



# Tm2Th2Zn PBE relaxed
# **Mass density**: 10.406 g cm⁻³
data_Tm2Th2Zn
_chemical_formula_sum 'Tm4 Th4 Zn2'
_space_group_name_H-M_alt 'I 4/m m m'
_space_group_IT_number 139
_space_group_name_Hall '-I 4 2'
_cell_length_a 3.527
_cell_length_b 3.527
_cell_length_c 22.257
_cell_angle_alpha 90.00
_cell_angle_beta 90.00
_cell_angle_gamma 90.00
loop_
_atom_site_label
_atom_site_type_symbol
_atom_site_fract_x
_atom_site_fract_y
_atom_site_fract_z
Tm1 Tm 0.000 0.000 0.080
Th1 Th 0.000 0.000 0.307
Zn1 Zn 0.000 0.000 0.500



| no. | formation energy (kJ/mol of formula units) | raw total energy (eV/atom) |
| --- | --- | --- |
| 1 | -58.2 | -4.531 |
| 2 | -27.2 | -4.480 |
| 3 | -357.1 | -3.427 |
| 4 | -61.5 | -5.139 |